The following is a DFT calculation (PBE-GGA) of a geometry-optimized La2MgRuI structure.

a b c (Å): 5.440 5.440 5.261
angles (deg): 90.00 90.00 90.00
Space group P4/mmm (No. 123)
Unique sites:
La: 0.000 0.500 0.000
Mg: 0.000 0.000 0.500
Ru: 0.000 0.000 0.000
I: 0.500 0.500 0.500

Calculated values
formation energy (no corrections)	-0.476	eV per atom
density of states at the Fermi level	0.612	states/eV/atom